Entry from Alexandria: a geometry-optimized ZnHg3Ru structure (PBE-GGA).

Summary:
V, Å³/cell: 148.2
SG: Pm-3m
Theoretical density, Mg/m³: 8.6
Energy above the lowest structure with this stoichiometry, meV/atom: 0

a = 5.292 Å, b = 5.292 Å, c = 5.292 Å
α = 90.00°, β = 90.00°, γ = 90.00°
Last column: magnetic moment on the atom in μB.
Fractional positions:
Ru (0.000, 0.000, 0.000)  0.85
Zn (0.500, 0.500, 0.500)  0.00
Hg (0.000, 0.500, 0.000)  0.02
Hg (0.000, 0.000, 0.500)  0.02
Hg (0.500, 0.000, 0.000)  0.00

=====

Entry from Alexandria: a geometry-optimized Sm2Zn3 structure (PBE-GGA).

Summary:
V, Å³/cell: 225.6
SG: Cmcm
Raw total energy, eV/atom: -2.971
Theoretical density, Mg/m³: 7.3

a = 3.608 Å, b = 4.550 Å, c = 13.864 Å
α = 90.00°, β = 97.48°, γ = 90.00°
Fractional positions:
Sm (0.291, 0.750, 0.583)
Sm (0.709, 0.250, 0.417)
Sm (0.572, 0.750, 0.143)
Sm (0.428, 0.250, 0.857)
Zn (0.169, 0.750, 0.339)
Zn (0.831, 0.250, 0.661)
Zn (0.883, 0.750, 0.766)
Zn (0.117, 0.250, 0.234)
Zn (0.023, 0.250, 0.046)
Zn (0.977, 0.750, 0.954)

=====

Entry from Alexandria: a geometry-optimized LiSmCu structure (PBE-GGA).

Summary:
V, Å³/cell: 62.2
SG: P-6m2
Theoretical density, Mg/m³: 5.9
Energy above the lowest structure with this stoichiometry, meV/atom: 81

a = 3.612 Å, b = 4.460 Å, c = 4.460 Å
α = 120.00°, β = 90.00°, γ = 90.00°
Fractional positions:
Cu (0.167, 0.333, 0.667)
Sm (0.667, 0.667, 0.333)
Li (0.167, 0.000, 0.000)

=====

Entry from Alexandria: a geometry-optimized TbDy10Sc6 structure (PBE-GGA).

Summary:
V, Å³/cell: 501.8
SG: P-31m
Raw total energy, eV/atom: -5.075
Theoretical density, Mg/m³: 6.8

a = 6.621 Å, b = 9.355 Å, c = 9.355 Å
α = 120.00°, β = 90.00°, γ = 90.00°
Fractional positions:
Tb (0.500, 0.000, 0.000)
Dy (0.820, 0.718, 0.718)
Dy (0.820, 0.000, 0.282)
Dy (0.820, 0.282, 0.000)
Dy (0.180, 0.282, 0.282)
Dy (0.180, 0.000, 0.718)
Dy (0.180, 0.718, 0.000)
Dy (0.500, 0.333, 0.667)
Dy (0.500, 0.667, 0.333)
Dy (0.000, 0.667, 0.333)
Dy (0.000, 0.333, 0.667)
Sc (0.680, 0.367, 0.367)
Sc (0.680, 0.000, 0.633)
Sc (0.680, 0.633, 0.000)
Sc (0.320, 0.633, 0.633)
Sc (0.320, 0.000, 0.367)
Sc (0.320, 0.367, 0.000)

=====

Entry from Alexandria: a geometry-optimized AcCeNi2P2 structure (PBE-GGA).

Summary:
V, Å³/cell: 115.2
SG: P-3m1
Raw total energy, eV/atom: -6.522
Theoretical density, Mg/m³: 7.9

a = 4.015 Å, b = 4.015 Å, c = 8.251 Å
α = 90.00°, β = 90.00°, γ = 120.00°
Last column: magnetic moment on the atom in μB.
Fractional positions:
Ac (0.000, 0.000, 0.000)  0.02
Ce (0.000, 0.000, 0.500)  0.29
Ni (0.667, 0.333, 0.267)  -0.01
Ni (0.333, 0.667, 0.733)  -0.01
P (0.667, 0.333, 0.729)  -0.01
P (0.333, 0.667, 0.271)  -0.01

=====

Entry from Alexandria: a geometry-optimized RbPu2RuO8 structure (PBE-GGA).

Summary:
V, Å³/cell: 201.8
SG: P-3
Formation energy (no corrections), eV/atom: -1.9318
Theoretical density, Mg/m³: 6.6

a = 5.632 Å, b = 5.632 Å, c = 7.346 Å
α = 90.00°, β = 90.00°, γ = 120.00°
Last column: magnetic moment on the atom in μB.
Fractional positions:
Rb (0.000, 0.000, 0.000)  0.00
Pu (0.667, 0.333, 0.406)  3.10
Pu (0.333, 0.667, 0.594)  3.10
Ru (0.000, 0.000, 0.500)  -1.39
O (0.333, 0.667, 0.848)  -0.26
O (0.278, 0.348, 0.373)  -0.18
O (0.652, 0.930, 0.373)  -0.18
O (0.667, 0.333, 0.152)  -0.26
O (0.348, 0.070, 0.627)  -0.18
O (0.722, 0.652, 0.627)  -0.18
O (0.930, 0.278, 0.627)  -0.18
O (0.070, 0.722, 0.373)  -0.18

=====

Entry from Alexandria: a geometry-optimized Ta2Fe structure (PBE-GGA).

Summary:
V, Å³/cell: 52.2
SG: P4/mmm
Raw total energy, eV/atom: -10.385
Theoretical density, Mg/m³: 13.3

a = 4.211 Å, b = 4.211 Å, c = 2.947 Å
α = 90.00°, β = 90.00°, γ = 90.00°
Fractional positions:
Fe (0.000, 0.000, 0.000)
Ta (0.000, 0.500, 0.500)
Ta (0.500, 0.000, 0.500)

=====

Entry from Alexandria: a geometry-optimized NdY4Ho7 structure (PBE-GGA).

Summary:
V, Å³/cell: 395.0
SG: C2/m
Raw total energy, eV/atom: -4.949
Theoretical density, Mg/m³: 7.0

a = 5.870 Å, b = 11.550 Å, c = 6.701 Å
α = 83.44°, β = 64.03°, γ = 75.28°
Fractional positions:
Nd (0.000, 0.000, 0.000)
Y (0.632, 0.225, 0.511)
Y (0.368, 0.775, 0.489)
Y (0.753, 0.682, 0.811)
Y (0.247, 0.318, 0.189)
Ho (0.790, 0.923, 0.498)
Ho (0.210, 0.077, 0.502)
Ho (0.062, 0.673, 0.204)
Ho (0.938, 0.327, 0.796)
Ho (0.367, 0.502, 0.765)
Ho (0.500, 0.000, 0.000)
Ho (0.633, 0.498, 0.235)

=====

Entry from Alexandria: a geometry-optimized Mg6PtRh2 structure (PBE-GGA).

Summary:
V, Å³/cell: 153.6
SG: P-3m1
Theoretical density, Mg/m³: 5.9
Energy above the lowest structure with this stoichiometry, meV/atom: 0

a = 4.541 Å, b = 4.541 Å, c = 8.602 Å
α = 90.00°, β = 90.00°, γ = 120.00°
Fractional positions:
Mg (0.667, 0.333, 0.937)
Mg (0.333, 0.667, 0.063)
Mg (0.000, 0.000, 0.200)
Mg (0.333, 0.667, 0.408)
Mg (0.000, 0.000, 0.800)
Mg (0.667, 0.333, 0.592)
Pt (0.000, 0.000, 0.500)
Rh (0.333, 0.667, 0.741)
Rh (0.667, 0.333, 0.259)

=====

Entry from Alexandria: a geometry-optimized Tb3NdSm2 structure (PBE-GGA).

Summary:
V, Å³/cell: 406.5
SG: Cmc2_1
Theoretical density, Mg/m³: 7.5
Energy above the lowest structure with this stoichiometry, meV/atom: 95

a = 6.423 Å, b = 8.169 Å, c = 8.169 Å
α = 71.50°, β = 90.00°, γ = 90.00°
Fractional positions:
Tb (0.108, 0.876, 0.511)
Tb (0.608, 0.489, 0.124)
Tb (0.108, 0.511, 0.876)
Tb (0.608, 0.124, 0.489)
Tb (0.316, 0.918, 0.918)
Tb (0.816, 0.082, 0.082)
Nd (0.790, 0.824, 0.824)
Nd (0.290, 0.176, 0.176)
Sm (0.568, 0.741, 0.378)
Sm (0.068, 0.622, 0.259)
Sm (0.568, 0.378, 0.741)
Sm (0.068, 0.259, 0.622)

=====

Entry from Alexandria: a geometry-optimized Tb3Nd2Al2 structure (PBE-GGA).

Summary:
V, Å³/cell: 198.6
SG: C2/m
Raw total energy, eV/atom: -4.604
Theoretical density, Mg/m³: 6.8

a = 5.363 Å, b = 5.354 Å, c = 8.574 Å
α = 108.27°, β = 90.00°, γ = 120.06°
Fractional positions:
Tb (0.500, 0.000, 0.000)
Tb (0.652, 0.305, 0.457)
Tb (0.348, 0.695, 0.543)
Nd (0.914, 0.829, 0.243)
Nd (0.086, 0.171, 0.757)
Al (0.780, 0.560, 0.841)
Al (0.220, 0.440, 0.159)

=====

Entry from Alexandria: a geometry-optimized Te2MoCl structure (PBE-GGA).

Summary:
V, Å³/cell: 107.2
SG: P4mm
Formation energy (no corrections), eV/atom: -0.0268
Theoretical density, Mg/m³: 6.0
Energy above the lowest structure with this stoichiometry, meV/atom: 139

a = 3.140 Å, b = 3.140 Å, c = 10.871 Å
α = 90.00°, β = 90.00°, γ = 90.00°
Fractional positions:
Cl (0.000, 0.000, 0.606)
Mo (0.500, 0.500, 0.748)
Te (0.000, 0.000, 0.906)
Te (0.500, 0.500, 0.240)

=====

Entry from Alexandria: a geometry-optimized Ce4GeBi3 structure (PBE-GGA).

Summary:
V, Å³/cell: 240.1
SG: C2/m
Theoretical density, Mg/m³: 8.7
Energy above the lowest structure with this stoichiometry, meV/atom: 424

a = 6.005 Å, b = 5.859 Å, c = 8.159 Å
α = 113.98°, β = 111.59°, γ = 90.00°
Last column: magnetic moment on the atom in μB.
Fractional positions:
Ce (0.101, 0.646, 0.202)  0.94
Ce (0.899, 0.354, 0.798)  0.94
Ce (0.766, 0.715, 0.533)  1.00
Ce (0.234, 0.285, 0.467)  1.00
Ge (0.000, 0.000, 0.000)  -0.02
Bi (0.348, 0.909, 0.695)  -0.04
Bi (0.652, 0.091, 0.305)  -0.04
Bi (0.500, 0.500, 0.000)  -0.01

=====

Entry from Alexandria: a geometry-optimized PrYCoAg structure (PBE-GGA).

Summary:
V, Å³/cell: 91.8
SG: F-43m
Raw total energy, eV/atom: -5.393
Theoretical density, Mg/m³: 7.2

a = 5.063 Å, b = 5.063 Å, c = 5.063 Å
α = 60.00°, β = 60.00°, γ = 60.00°
Last column: magnetic moment on the atom in μB.
Fractional positions:
Pr (0.750, 0.750, 0.750)  -0.09
Y (0.250, 0.250, 0.250)  -0.12
Co (0.500, 0.500, 0.500)  0.91
Ag (0.000, 0.000, 0.000)  -0.01

=====

Entry from Alexandria: a geometry-optimized ZrCdAg2 structure (PBE-GGA).

Summary:
V, Å³/cell: 80.8
SG: Pmmm
Raw total energy, eV/atom: -3.699
Theoretical density, Mg/m³: 8.6

a = 3.066 Å, b = 5.200 Å, c = 5.070 Å
α = 90.00°, β = 90.00°, γ = 90.00°
Fractional positions:
Ag (0.000, 0.000, 0.000)
Ag (0.500, 0.500, 0.000)
Cd (0.500, 0.000, 0.500)
Zr (0.000, 0.500, 0.500)

=====

Entry from Alexandria: a geometry-optimized Tm4Hg2B structure (PBE-GGA).

Summary:
V, Å³/cell: 179.6
SG: I4/mmm
Raw total energy, eV/atom: -3.799
Theoretical density, Mg/m³: 10.1

a = 4.914 Å, b = 4.914 Å, c = 8.207 Å
α = 107.42°, β = 107.42°, γ = 90.00°
Fractional positions:
B (0.000, 0.000, 0.000)
Tm (0.828, 0.828, 0.657)
Tm (0.172, 0.172, 0.343)
Tm (0.000, 0.500, 0.000)
Tm (0.500, 0.000, 0.000)
Hg (0.630, 0.630, 0.261)
Hg (0.370, 0.370, 0.739)

=====

Entry from Alexandria: a geometry-optimized DyPa2Pt9 structure (PBE-GGA).

Summary:
V, Å³/cell: 215.8
SG: P4/mmm
Raw total energy, eV/atom: -7.515
Theoretical density, Mg/m³: 18.3

a = 4.167 Å, b = 4.167 Å, c = 12.431 Å
α = 90.00°, β = 90.00°, γ = 90.00°
Last column: magnetic moment on the atom in μB.
Fractional positions:
Dy (0.000, 0.000, 0.000)  0.00
Pa (0.000, 0.000, 0.331)  0.44
Pa (0.000, 0.000, 0.669)  0.44
Pt (0.500, 0.500, 0.000)  0.00
Pt (0.500, 0.500, 0.333)  0.02
Pt (0.500, 0.500, 0.667)  0.02
Pt (0.500, 0.000, 0.168)  0.01
Pt (0.500, 0.000, 0.500)  0.03
Pt (0.500, 0.000, 0.832)  0.01
Pt (0.000, 0.500, 0.168)  0.01
Pt (0.000, 0.500, 0.500)  0.03
Pt (0.000, 0.500, 0.832)  0.01

=====

Entry from Alexandria: a geometry-optimized Pr4BiPt structure (PBE-GGA).

Summary:
V, Å³/cell: 372.4
SG: C2/c
Raw total energy, eV/atom: -5.456
Theoretical density, Mg/m³: 8.6

a = 6.089 Å, b = 8.858 Å, c = 8.554 Å
α = 114.31°, β = 101.63°, γ = 107.35°
Fractional positions:
Pr (0.052, 0.204, 0.846)
Pr (0.773, 0.703, 0.629)
Pr (0.295, 0.642, 0.846)
Pr (0.356, 0.926, 0.629)
Pr (0.644, 0.074, 0.371)
Pr (0.705, 0.358, 0.154)
Pr (0.227, 0.297, 0.371)
Pr (0.948, 0.796, 0.154)
Bi (0.369, 0.619, 0.239)
Bi (0.631, 0.381, 0.761)
Pt (0.250, 0.000, 0.000)
Pt (0.750, 0.000, 0.000)

=====

Entry from Alexandria: a geometry-optimized Y5Tl2Te2 structure (PBE-GGA).

Summary:
V, Å³/cell: 515.6
SG: Cmce
Formation energy (no corrections), eV/atom: -0.8019
Theoretical density, Mg/m³: 7.1

a = 8.134 Å, b = 8.114 Å, c = 8.802 Å
α = 117.45°, β = 90.00°, γ = 90.00°
Last column: magnetic moment on the atom in μB.
Fractional positions:
Y (0.000, 0.000, 0.000)  0.11
Y (0.500, 0.500, 0.000)  0.11
Y (0.835, 0.804, 0.274)  0.13
Y (0.165, 0.470, 0.274)  0.13
Y (0.335, 0.970, 0.274)  0.13
Y (0.665, 0.304, 0.274)  0.13
Y (0.165, 0.196, 0.726)  0.13
Y (0.835, 0.530, 0.726)  0.13
Y (0.665, 0.030, 0.726)  0.13
Y (0.335, 0.696, 0.726)  0.13
Tl (0.632, 0.866, 0.000)  0.00
Tl (0.368, 0.134, 0.000)  0.00
Tl (0.132, 0.634, 0.000)  0.00
Tl (0.868, 0.366, 0.000)  0.00
Te (0.000, 0.202, 0.404)  -0.01
Te (0.500, 0.702, 0.404)  -0.01
Te (0.000, 0.798, 0.596)  -0.01
Te (0.500, 0.298, 0.596)  -0.01

=====

Entry from Alexandria: a geometry-optimized CsSbPbS3 structure (PBE-GGA).

Summary:
V, Å³/cell: 401.1
SG: C2/m
Formation energy (no corrections), eV/atom: -0.5767
Theoretical density, Mg/m³: 4.6

a = 4.110 Å, b = 10.078 Å, c = 10.428 Å
α = 108.05°, β = 90.00°, γ = 101.77°
Fractional positions:
Cs (0.342, 0.684, 0.932)
Cs (0.658, 0.316, 0.068)
Sb (0.975, 0.950, 0.311)
Sb (0.025, 0.050, 0.689)
Pb (0.666, 0.332, 0.514)
Pb (0.334, 0.668, 0.486)
S (0.849, 0.698, 0.229)
S (0.808, 0.616, 0.648)
S (0.507, 0.013, 0.190)
S (0.192, 0.384, 0.352)
S (0.493, 0.987, 0.810)
S (0.151, 0.302, 0.771)